Record 1
The following is a GGA-PBE calculation of an optimized crystal structure of Li3Ag3Pb, from Alexandria via LeMat-Bulk.

Cell lengths 8.0770, 8.0770, 8.0770 Å; angles 90.00, 90.00, 90.00 degrees
Sites, in units of the cell vectors:
Li (0.0349, 0.3084, 0.8782)
Li (0.1218, 0.5349, 0.1916)
Li (0.1916, 0.1218, 0.5349)
Li (0.3084, 0.8782, 0.0349)
Li (0.3782, 0.4651, 0.6916)
Li (0.4651, 0.6916, 0.3782)
Li (0.5349, 0.1916, 0.1218)
Li (0.6218, 0.9651, 0.8084)
Li (0.6916, 0.3782, 0.4651)
Li (0.8084, 0.6218, 0.9651)
Li (0.8782, 0.0349, 0.3084)
Li (0.9651, 0.8084, 0.6218)
Ag (0.1320, 0.6320, 0.8680)
Ag (0.1536, 0.8464, 0.3464)
Ag (0.1676, 0.1676, 0.1676)
Ag (0.3324, 0.8324, 0.6676)
Ag (0.3464, 0.1536, 0.8464)
Ag (0.3680, 0.3680, 0.3680)
Ag (0.6320, 0.8680, 0.1320)
Ag (0.6536, 0.6536, 0.6536)
Ag (0.6676, 0.3324, 0.8324)
Ag (0.8324, 0.6676, 0.3324)
Ag (0.8464, 0.3464, 0.1536)
Ag (0.8680, 0.1320, 0.6320)
Pb (0.0438, 0.4562, 0.5438)
Pb (0.4562, 0.5438, 0.0438)
Pb (0.5438, 0.0438, 0.4562)
Pb (0.9562, 0.9562, 0.9562)

Calculated values
N(E_F) = 2.94 states/eV/f.u.
energy relative to the elements = -11.85 kJ/mol of atoms
crystal system = cubic
energy relative to the lowest polymorph listed for this composition = 0.000 eV/f.u.
total energy = -0.099 Ha/atom
space-group type = P2_13


Record 2
The following is a GGA-PBE calculation of an optimized crystal structure of Li2Ag5Pb3, from Alexandria via LeMat-Bulk.

Cell lengths 9.2708, 9.2708, 9.2708 Å; angles 104.46, 87.06, 143.28 degrees
Sites, in units of the cell vectors:
Li (0.1519, 0.1462, 0.2982)
Li (0.3481, 0.6462, 0.9943)
Li (0.6519, 0.3538, 0.0057)
Li (0.8481, 0.8538, 0.7018)
Ag (0.1526, 0.6392, 0.7919)
Ag (0.2500, 0.5042, 0.2542)
Ag (0.2500, 0.7500, 0.5000)
Ag (0.2500, 0.9958, 0.7458)
Ag (0.3474, 0.1392, 0.4866)
Ag (0.6526, 0.8608, 0.5134)
Ag (0.7500, 0.0042, 0.2542)
Ag (0.7500, 0.2500, 0.5000)
Ag (0.7500, 0.4958, 0.7458)
Ag (0.8474, 0.3608, 0.2081)
Pb (0.2356, 0.3920, 0.6276)
Pb (0.2500, 0.2500, 0.0000)
Pb (0.2644, 0.8920, 0.1564)
Pb (0.7356, 0.1080, 0.8436)
Pb (0.7500, 0.7500, 0.0000)
Pb (0.7644, 0.6080, 0.3724)

Calculated values
N(E_F) = 3.90 states/eV/f.u.
energy relative to the elements = 4.18 kJ/mol of atoms
crystal system = orthorhombic
total energy = -0.106 Ha/atom
space-group type = Ibam


Record 3
The following is a GGA-PBE calculation of an optimized crystal structure of Li3AgPb3, from Alexandria via LeMat-Bulk.

Cell lengths 6.9968, 6.9968, 6.8445 Å; angles 90.79, 90.79, 86.27 degrees
Sites, in units of the cell vectors:
Li (0.1999, 0.8001, 0.0000)
Li (0.2370, 0.7630, 0.5000)
Li (0.2485, 0.2485, 0.4605)
Li (0.7515, 0.7515, 0.5395)
Li (0.7630, 0.2370, 0.5000)
Li (0.8001, 0.1999, 0.0000)
Ag (0.2128, 0.2128, 0.0549)
Ag (0.7872, 0.7872, 0.9451)
Pb (0.0265, 0.4751, 0.7523)
Pb (0.4751, 0.0265, 0.7523)
Pb (0.4941, 0.4941, 0.7615)
Pb (0.5059, 0.5059, 0.2385)
Pb (0.5249, 0.9735, 0.2477)
Pb (0.9735, 0.5249, 0.2477)

Calculated values
N(E_F) = 1.68 states/eV/f.u.
energy relative to the elements = -14.36 kJ/mol of atoms
crystal system = monoclinic
total energy = -0.109 Ha/atom
space-group type = C2/m


Record 4
The following is a GGA-PBE calculation of an optimized crystal structure of Li2Ag5Pb, from Alexandria via LeMat-Bulk.

Cell lengths 5.7797, 11.7272, 4.3555 Å; angles 90.00, 90.00, 90.00 degrees
Sites, in units of the cell vectors:
Li (0.2441, 0.1288, 0.0000)
Li (0.2559, 0.6288, 0.0000)
Li (0.7441, 0.3712, 0.0000)
Li (0.7559, 0.8712, 0.0000)
Ag (0.0000, 0.0000, 0.5000)
Ag (0.0076, 0.2447, 0.5000)
Ag (0.2393, 0.8669, 0.0000)
Ag (0.2607, 0.3669, 0.0000)
Ag (0.4924, 0.7447, 0.5000)
Ag (0.5000, 0.5000, 0.5000)
Ag (0.5076, 0.2553, 0.5000)
Ag (0.7393, 0.6331, 0.0000)
Ag (0.7607, 0.1331, 0.0000)
Ag (0.9924, 0.7553, 0.5000)
Pb (0.0000, 0.5000, 0.5000)
Pb (0.5000, 0.0000, 0.5000)

Calculated values
N(E_F) = 1.35 states/eV/f.u.
energy relative to the elements = -10.50 kJ/mol of atoms
crystal system = orthorhombic
total energy = -0.104 Ha/atom
space-group type = Pbam


Record 5
The following is a GGA-PBE calculation of an optimized crystal structure of LiAgPb2, from Alexandria via LeMat-Bulk.

Cell lengths 5.9435, 5.9435, 5.9435 Å; angles 48.45, 48.45, 48.45 degrees
Sites, in units of the cell vectors:
Li (0.0000, 0.0000, 0.0000)
Ag (0.8120, 0.8120, 0.8120)
Pb (0.2156, 0.2156, 0.2156)
Pb (0.4232, 0.4232, 0.4232)

Calculated values
N(E_F) = 1.58 states/eV/f.u.
energy relative to the elements = -2.19 kJ/mol of atoms
crystal system = trigonal
total energy = -0.113 Ha/atom
space-group type = R3m


Record 6
The following is a GGA-PBE calculation of an optimized crystal structure of Li5AgPb6, from Alexandria via LeMat-Bulk.

Cell lengths 7.9876, 7.9876, 7.2043 Å; angles 90.00, 90.00, 143.16 degrees
Sites, in units of the cell vectors:
Li (0.0000, 0.0000, 0.0000)
Li (0.3339, 0.6661, 0.5000)
Li (0.3372, 0.6628, 0.0000)
Li (0.6628, 0.3372, 0.0000)
Li (0.6661, 0.3339, 0.5000)
Ag (0.0000, 0.0000, 0.5000)
Pb (0.1688, 0.8312, 0.2499)
Pb (0.1688, 0.8312, 0.7501)
Pb (0.5000, 0.5000, 0.2526)
Pb (0.5000, 0.5000, 0.7474)
Pb (0.8312, 0.1688, 0.2499)
Pb (0.8312, 0.1688, 0.7501)

Calculated values
N(E_F) = 4.23 states/eV/f.u.
energy relative to the elements = -19.93 kJ/mol of atoms
crystal system = orthorhombic
total energy = -0.114 Ha/atom
space-group type = Cmmm